Entry 1:
A PBEsol-optimized structure of Ca2MgFe, computed with meta-GGA SCAN.

Calculated values
Space group ... I-4m2, No. 119
ΔH_f (0 K) ... 1.64 eV per formula unit
Magnetization ... 2.44 μB per cell

Cell lengths 4.6524, 4.6524, 5.5922 Å; angles 114.58, 114.58, 90.00 degrees
Last column: magnetic moment on the atom in μB.
Positions (direct):
1 Ca 0.0000 0.0000 0.0000  -0.09
2 Ca 0.7500 0.2500 0.5000  -0.08
3 Fe 0.5000 0.5000 0.0000  3.06
4 Mg 0.2500 0.7500 0.5000  -0.02

---

Entry 2:
A PBEsol-optimized structure of ZrH3F, computed with meta-GGA SCAN.

Calculated values
Uncorrected energy ... -9.4119 eV per atom
Space group ... Pm-3m, No. 221
Magnetization ... 0.00 μB per cell

Cell lengths 3.7556, 3.7556, 3.7556 Å; angles 90.00, 90.00, 90.00 degrees
Positions (direct):
1 H 0.0000 0.5000 0.0000
2 H 0.0000 0.0000 0.5000
3 H 0.5000 0.0000 0.0000
4 Zr 0.0000 0.0000 0.0000
5 F 0.5000 0.5000 0.5000

---

Entry 3:
A PBEsol-optimized structure of CoMo2RuRh, computed with meta-GGA SCAN.

Calculated values
Space group ... P4/mmm, No. 123
ΔH_f (0 K) ... 8.78 eV per formula unit
Magnetization ... 1.63 μB per cell

Cell lengths 4.5264, 4.5264, 4.5956 Å; angles 90.00, 90.00, 90.00 degrees
Last column: magnetic moment on the atom in μB.
Positions (direct):
1 Ru 0.0000 0.0000 0.0000  0.03
2 Mo 0.0000 0.5000 0.0000  -0.21
3 Mo 0.5000 0.0000 0.0000  -0.21
4 Rh 0.0000 0.0000 0.5000  -0.04
5 Co 0.5000 0.5000 0.5000  2.11